A relaxed CaMgBr crystal, computed with PBE.

Summary:
Its raw formation energy is -0.71 eV per atom. As for the magnetic moment: 0.00 μB per atom. Its electronic total energy is -2.469 eV per atom. Its energy above the most stable polymorph in this dataset is 34 meV per atom.

abc: 3.9202 3.9202 7.2815
angles: 90.00 90.00 120.00
Space group P3m1 (No. 156)
Asymmetric unit:
Ca1 0.0000 0.0000 0.0000 (multiplicity 1)
Mg1 0.6667 0.3333 0.3443 (multiplicity 1)
Br1 0.3333 0.6667 0.7406 (multiplicity 1)

---

A relaxed V2RuBr2 crystal, computed with PBE.

Summary:
Its raw formation energy is 0.60 eV per atom. As for the magnetic moment: 0.99 μB per atom. Its electronic total energy is -5.570 eV per atom. Its energy above the most stable polymorph in this dataset is 0 meV per atom.

abc: 6.894 6.894 4.804
angles: 90.00 90.00 90.00
Space group P4/mbm (No. 127)
Asymmetric unit:
V1 0.246 0.254 0.000 (multiplicity 4)
Ru1 0.000 0.000 0.000 (multiplicity 2)
Br1 0.178 0.322 0.500 (multiplicity 4)

---

A relaxed Mg2Pd2Pt crystal, computed with PBE.

Summary:
As for the magnetic moment: 0.00 μB per atom. Its electronic total energy is -4.450 eV per atom. The formation energy is -0.527 eV per atom. Its energy above the most stable polymorph in this dataset is 0 meV per atom.

abc: 7.296 7.296 3.081
angles: 90.00 90.00 90.00
Space group P4/mbm (No. 127)
Asymmetric unit:
Mg1 0.169 0.331 0.000 (multiplicity 4)
Pd1 0.132 0.632 0.500 (multiplicity 4)
Pt1 0.000 0.000 0.500 (multiplicity 2)

---

A relaxed Cr2SnTe crystal, computed with PBE.

Summary:
Its raw formation energy is 0.51 eV per atom. As for the magnetic moment: 1.83 μB per atom. Its electronic total energy is -6.092 eV per atom. Its energy above the most stable polymorph in this dataset is 0 meV per atom.

abc: 7.305 7.305 6.676
angles: 90.00 90.00 90.00
Space group I-42d (No. 122)
Asymmetric unit:
Cr1 0.245 0.250 0.125 (multiplicity 8)
Sn1 0.000 0.000 0.500 (multiplicity 4)
Te1 0.000 0.000 0.000 (multiplicity 4)

---

A relaxed Pm2CoCl2 crystal, computed with PBE.

Summary:
Its raw formation energy is -1.17 eV per atom. As for the magnetic moment: 0.00 μB per atom. Its electronic total energy is -5.228 eV per atom.

abc: 6.791 3.921 11.162
angles: 90.00 102.84 90.00
Space group C2/m (No. 12)
Asymmetric unit:
Pm1 0.222 0.000 0.152 (multiplicity 4)
Co1 0.000 0.500 0.000 (multiplicity 2)
Cl1 0.051 0.000 0.684 (multiplicity 4)

---

A relaxed CaCd2AgSe crystal, computed with PBE.

Summary:
Its raw formation energy is 0.70 eV per atom. As for the magnetic moment: 0.18 μB per atom. Its electronic total energy is -1.337 eV per atom.

abc: 5.944 5.944 5.461
angles: 90.00 90.00 90.00
Space group P4/mmm (No. 123)
Asymmetric unit:
Ca1 0.000 0.000 0.000 (multiplicity 1)
Cd1 0.000 0.500 0.000 (multiplicity 2)
Ag1 0.000 0.000 0.500 (multiplicity 1)
Se1 0.500 0.500 0.500 (multiplicity 1)

---

A relaxed YZn2GaPt crystal, computed with PBE.

Summary:
As for the magnetic moment: 0.00 μB per atom. Its electronic total energy is -4.245 eV per atom. The formation energy is -0.629 eV per atom.

abc: 3.800 4.177 11.724
angles: 90.00 90.00 90.00
Space group Imm2 (No. 44)
Asymmetric unit:
Y1 0.000 0.000 0.000 (multiplicity 2)
Zn1 0.000 0.000 0.615 (multiplicity 2)
Zn2 0.000 0.500 0.263 (multiplicity 2)
Ga1 0.000 0.500 0.747 (multiplicity 2)
Pt1 0.000 0.000 0.400 (multiplicity 2)

---

A relaxed BaLiAlAg6 crystal, computed with PBE.

Summary:
As for the magnetic moment: 0.00 μB per atom. Its electronic total energy is -2.637 eV per atom. The formation energy is 0.106 eV per atom.

abc: 6.913 8.912 14.506
angles: 90.00 90.00 90.00
Space group Imma (No. 74)
Asymmetric unit:
Ba1 0.000 0.250 0.096 (multiplicity 4)
Li1 0.250 0.250 0.750 (multiplicity 4)
Al1 0.000 0.000 0.500 (multiplicity 4)
Ag1 0.000 0.250 0.394 (multiplicity 4)
Ag2 0.000 0.250 0.875 (multiplicity 4)
Ag3 0.206 0.023 0.652 (multiplicity 16)

---

A relaxed MnSiAs2 crystal, computed with PBE.

Summary:
Its raw formation energy is 0.07 eV per atom. As for the magnetic moment: 0.00 μB per atom. Its electronic total energy is -5.907 eV per atom.

abc: 2.873 3.794 11.932
angles: 90.00 90.00 90.00
Space group Immm (No. 71)
Asymmetric unit:
Mn1 0.000 0.000 0.000 (multiplicity 2)
Si1 0.000 0.000 0.500 (multiplicity 2)
As1 0.000 0.500 0.332 (multiplicity 4)

---

A relaxed RbTc3Se crystal, computed with PBE.

Summary:
Its raw formation energy is 3.30 eV per atom. As for the magnetic moment: 1.40 μB per atom. Its electronic total energy is -3.808 eV per atom. Its energy above the most stable polymorph in this dataset is 1906 meV per atom.

abc: 4.861 4.861 4.861
angles: 90.00 90.00 90.00
Space group Pm-3m (No. 221)
Asymmetric unit:
Rb1 0.000 0.000 0.000 (multiplicity 1)
Tc1 0.000 0.000 0.500 (multiplicity 3)
Se1 0.500 0.500 0.500 (multiplicity 1)

---

A relaxed Tb2Pm6PrEr3 crystal, computed with PBE.

Summary:
As for the magnetic moment: 0.00 μB per atom. Its electronic total energy is -4.671 eV per atom. The formation energy is 0.015 eV per atom.

abc: 6.253 10.830 11.891
angles: 90.00 100.07 90.00
Space group C2/m (No. 12)
Asymmetric unit:
Tb1 0.000 0.167 0.000 (multiplicity 4)
Pm1 0.248 0.167 0.747 (multiplicity 8)
Pm2 0.249 0.500 0.747 (multiplicity 4)
Pr1 0.000 0.500 0.000 (multiplicity 2)
Er1 0.000 0.000 0.500 (multiplicity 2)
Er2 0.000 0.333 0.500 (multiplicity 4)

---

A relaxed PmTcMo crystal, computed with PBE.

Summary:
As for the magnetic moment: 0.00 μB per atom. Its electronic total energy is -8.568 eV per atom. The formation energy is 0.081 eV per atom. Its energy above the most stable polymorph in this dataset is 3 meV per atom.

abc: 5.479 5.621 7.748
angles: 90.00 90.00 90.00
Space group Imma (No. 74)
Asymmetric unit:
Pm1 0.000 0.250 0.128 (multiplicity 4)
Tc1 0.000 0.000 0.500 (multiplicity 4)
Mo1 0.250 0.250 0.750 (multiplicity 4)